The following is a DFT calculation (PBE-GGA) of an optimized crystal structure of Ba2AlBRu.

Summary:
Its energy of formation from the pure elements is 2.27 eV per formula unit.

Cell: 6.043 6.043 4.025 Å, 90.00 90.00 90.00°
Space group P4/mmm (No. 123)
One atom of each set of equivalent atoms:
Ba1 0.000 0.500 0.000 [2 per cell]
Al1 0.000 0.000 0.500 [1 per cell]
B1 0.500 0.500 0.500 [1 per cell]
Ru1 0.500 0.500 0.000 [1 per cell]


The following is a DFT calculation (PBE-GGA) of an optimized crystal structure of Y2TaIr.

Summary:
The calculation puts the energy above the most stable polymorph in this dataset at 544 meV/atom. Its energy of formation from the pure elements is 1.21 eV per formula unit.

Cell: 8.161 8.161 5.727 Å, 90.00 90.00 90.00°
Space group I-42d (No. 122)
One atom of each set of equivalent atoms:
Y1 0.201 0.250 0.125 [8 per cell]
Ta1 0.000 0.000 0.500 [4 per cell]
Ir1 0.000 0.000 0.000 [4 per cell]


The following is a DFT calculation (PBE-GGA) of an optimized crystal structure of AcSm2WN4.

Summary:
Its formation energy from raw total energies is -1.013 eV/atom.

Cell: 3.535 12.382 12.277 Å, 90.00 90.00 90.00°
Space group Cmcm (No. 63)
One atom of each set of equivalent atoms:
Ac1 0.000 0.082 0.250 [4 per cell]
Sm1 0.000 0.370 0.039 [8 per cell]
W1 0.000 0.176 0.750 [4 per cell]
N1 0.000 0.000 0.000 [4 per cell]
N2 0.000 0.264 0.623 [8 per cell]
N3 0.000 0.417 0.250 [4 per cell]


The following is a DFT calculation (PBE-GGA) of an optimized crystal structure of Be2CrSi.

Summary:
Its formation energy from raw total energies is -0.033 eV/atom.

Cell: 2.484 3.725 4.530 Å, 90.00 90.00 90.00°
Space group Pmm2 (No. 25)
One atom of each set of equivalent atoms:
Be1 0.000 0.000 0.000 [1 per cell]
Be2 0.000 0.500 0.231 [1 per cell]
Cr1 0.500 0.500 0.750 [1 per cell]
Si1 0.000 0.000 0.514 [1 per cell]


The following is a DFT calculation (PBE-GGA) of an optimized crystal structure of Tb2NpAgO8.

Summary:
Its formation energy from raw total energies is -2.417 eV/atom.

Cell: 5.027 5.051 7.153 Å, 84.77 85.02 85.67°
Space group P-1 (No. 2)
One atom of each set of equivalent atoms:
Tb1 0.036 0.035 0.236 [2 per cell]
Np1 0.500 0.500 0.500 [1 per cell]
Ag1 0.500 0.500 0.000 [1 per cell]
O1 0.202 0.797 0.000 [2 per cell]
O2 0.204 0.789 0.501 [2 per cell]
O3 0.290 0.282 0.674 [2 per cell]
O4 0.342 0.341 0.254 [2 per cell]


The following is a DFT calculation (PBE-GGA) of an optimized crystal structure of HfMgZnRh2.

Summary:
Its energy of formation from the pure elements is 1.62 eV per formula unit.

Cell: 4.597 4.597 4.373 Å, 90.00 90.00 90.00°
Space group P4/mmm (No. 123)
One atom of each set of equivalent atoms:
Hf1 0.000 0.000 0.000 [1 per cell]
Mg1 0.500 0.500 0.000 [1 per cell]
Zn1 0.500 0.500 0.500 [1 per cell]
Rh1 0.000 0.500 0.500 [2 per cell]


The following is a DFT calculation (PBE-GGA) of an optimized crystal structure of TePdPtO6.

Summary:
Its formation energy from raw total energies is -0.577 eV/atom.

Cell: 5.2624 5.2624 9.2978 Å, 90.00 90.00 120.00°
Space group P-31c (No. 163)
One atom of each set of equivalent atoms:
Te1 0.3333 0.6667 0.2500 [2 per cell]
Pd1 0.0000 0.0000 0.0000 [2 per cell]
Pt1 0.3333 0.6667 0.7500 [2 per cell]
O1 0.0058 0.3612 0.1330 [12 per cell]


The following is a DFT calculation (PBE-GGA) of an optimized crystal structure of MgRhAu2.

Summary:
Its energy of formation from the pure elements is -0.10 eV per formula unit.

Cell: 3.884 3.884 19.348 Å, 90.00 90.00 90.00°
Space group I-42d (No. 122)
One atom of each set of equivalent atoms:
Mg1 0.000 0.000 0.000 [4 per cell]
Rh1 0.000 0.000 0.500 [4 per cell]
Au1 0.248 0.250 0.625 [8 per cell]


The following is a DFT calculation (PBE-GGA) of an optimized crystal structure of Pr2Cu2Ag.

Summary:
The calculation puts the energy above the most stable polymorph in this dataset at 0 meV/atom. Its energy of formation from the pure elements is -1.10 eV per formula unit.

Cell: 4.124 14.429 3.859 Å, 90.00 90.00 90.00°
Space group Cmmm (No. 65)
One atom of each set of equivalent atoms:
Pr1 0.000 0.127 0.000 [4 per cell]
Cu1 0.000 0.298 0.500 [4 per cell]
Ag1 0.000 0.500 0.500 [2 per cell]


Listing spin magnetization for the structures above in their given order: 0.00 0.00 0.00 0.00 0.00 0.00 1.74 0.00 0.00 μB per formula unit.